The following is a DFT calculation (GGA-PBE) of crystalline SmSnSb2 at its relaxed geometry.

Output
relative energy among the computed polymorphs: 0.0000 eV per atom
symmetry: P4/nmm
magnetic moment: 0.00 μB/f.u.

abc: 4.441 4.441 11.521
angles: 90.00 90.00 90.00
Sites, in units of the cell vectors:
Sm 0.250 0.250 0.216
Sm 0.750 0.750 0.784
Sn 0.250 0.750 0.500
Sn 0.750 0.250 0.500
Sb 0.250 0.250 0.730
Sb 0.250 0.750 0.000
Sb 0.750 0.250 0.000
Sb 0.750 0.750 0.270


The following is a DFT calculation (GGA-PBE) of crystalline Li2LaZrNb at its relaxed geometry.

Output
ΔH_f (0 K): 75.7 kJ per mole of atoms
symmetry: P4/mmm
magnetic moment: 0.00 μB/f.u.

abc: 5.151 5.151 4.885
angles: 90.00 90.00 90.00
Sites, in units of the cell vectors:
Li 0.000 0.500 0.000
Li 0.500 0.000 0.000
La 0.000 0.000 0.500
Zr 0.500 0.500 0.000
Nb 0.500 0.500 0.500


The following is a DFT calculation (GGA-PBE) of crystalline CaBeAu6 at its relaxed geometry.

Output
ΔH_f (0 K): -29.5 kJ per mole of atoms
symmetry: P4/mmm
magnetic moment: 0.00 μB/f.u.

abc: 4.014 4.014 9.761
angles: 90.00 90.00 90.00
Sites, in units of the cell vectors:
Ca 0.000 0.000 0.000
Be 0.000 0.000 0.500
Au 0.000 0.500 0.351
Au 0.000 0.500 0.649
Au 0.500 0.000 0.351
Au 0.500 0.000 0.649
Au 0.500 0.500 0.137
Au 0.500 0.500 0.863


The following is a DFT calculation (GGA-PBE) of crystalline LiTiPd at its relaxed geometry.

Output
ΔH_f (0 K): -22.7 kJ per mole of atoms
relative energy among the computed polymorphs: 0.2089 eV per atom
symmetry: P3m1
magnetic moment: 0.00 μB/f.u.

abc: 4.341 4.341 2.729
angles: 90.00 90.00 120.00
Sites, in units of the cell vectors:
Li 0.000 0.000 0.000
Ti 0.333 0.667 0.364
Pd 0.667 0.333 0.727


The following is a DFT calculation (GGA-PBE) of crystalline Pm2ErCo2 at its relaxed geometry.

Output
ΔH_f (0 K): -7.3 kJ per mole of atoms
relative energy among the computed polymorphs: 0.0162 eV per atom
symmetry: P4/mbm
magnetic moment: 0.00 μB/f.u.

abc: 7.264 7.264 4.283
angles: 90.00 90.00 90.00
Sites, in units of the cell vectors:
Pm 0.176 0.324 0.000
Pm 0.324 0.824 0.000
Pm 0.676 0.176 0.000
Pm 0.824 0.676 0.000
Er 0.000 0.000 0.500
Er 0.500 0.500 0.500
Co 0.110 0.610 0.500
Co 0.390 0.110 0.500
Co 0.610 0.890 0.500
Co 0.890 0.390 0.500


The following is a DFT calculation (GGA-PBE) of crystalline In5HgCl4 at its relaxed geometry.

Output
symmetry: Immm
electronic total energy: -2.723 eV per atom
magnetic moment: 0.00 μB/f.u.

abc: 12.539 12.539 12.539
angles: 160.77 151.30 34.78
Sites, in units of the cell vectors:
In 0.000 0.000 0.000
In 0.201 0.201 0.000
In 0.406 0.406 0.000
In 0.594 0.594 0.000
In 0.799 0.799 0.000
Hg 0.500 0.000 0.500
Cl 0.102 0.602 0.500
Cl 0.308 0.808 0.500
Cl 0.692 0.192 0.500
Cl 0.898 0.398 0.500